VASP calculation (PBE-GGA) on crystalline NdSm10Y4 at its relaxed geometry.

Lattice parameters (Å, degrees): 7.798 9.571 9.571 80.45 65.96 65.96
Fractional positions:
Sm 0.750 0.500 0.500
Sm 0.849 0.699 0.101
Nd 0.000 0.000 0.000
Sm 0.050 0.101 0.301
Sm 0.151 0.301 0.899
Sm 0.950 0.899 0.699
Sm 0.549 0.101 0.301
Y 0.800 0.600 0.800
Y 0.600 0.200 0.600
Sm 0.250 0.500 0.500
Sm 0.451 0.899 0.699
Sm 0.650 0.301 0.899
Y 0.200 0.400 0.200
Y 0.400 0.800 0.400
Sm 0.350 0.699 0.101

Properties
**Crystal system**: tetragonal
**Formation energy**: 1068 kJ/mol of formula units
**Total energy**: -4.450 eV per atom


VASP calculation (PBE-GGA) on crystalline NdSm3Y5 at its relaxed geometry.

Lattice parameters (Å, degrees): 9.797 9.797 11.427 69.56 69.56 37.90
Fractional positions:
Y 0.465 0.857 0.484
Sm 0.000 0.000 0.000
Y 0.547 0.113 0.211
Y 0.535 0.143 0.516
Sm 0.984 0.357 0.627
Y 0.143 0.535 0.016
Y 0.887 0.453 0.289
Sm 0.016 0.643 0.373
Y 0.857 0.465 0.984
Y 0.113 0.547 0.711
Nd 0.120 0.880 0.750
Y 0.453 0.887 0.789
Y 0.406 0.594 0.250
Y 0.594 0.406 0.750
Nd 0.880 0.120 0.250
Sm 0.357 0.984 0.127
Sm 0.000 0.000 0.500
Sm 0.643 0.016 0.873

Properties
**Crystal system**: monoclinic
**Relative energy among the computed polymorphs**: 229 meV/atom
**Formation energy**: 250 kJ/mol of formula units
**Total energy**: -5.406 eV per atom


VASP calculation (PBE-GGA) on crystalline NdSm2Y2 at its relaxed geometry.

Lattice parameters (Å, degrees): 5.552 7.116 8.960 90.00 108.05 90.00
Fractional positions:
Y 0.199 0.827 0.399
Sm 0.609 0.076 0.219
Sm 0.802 0.827 0.604
Sm 0.198 0.327 0.396
Nd 0.392 0.078 0.783
Y 0.801 0.327 0.601
Sm 0.391 0.576 0.781
Y 0.000 0.327 0.000
Nd 0.608 0.578 0.217
Y 0.000 0.827 0.000

Properties
**Crystal system**: orthorhombic
**Relative energy among the computed polymorphs**: 0 meV/atom
**Formation energy**: 26 kJ/mol of formula units
**Total energy**: -5.374 eV per atom


VASP calculation (PBE-GGA) on crystalline Nd4Sm2Y at its relaxed geometry.

Lattice parameters (Å, degrees): 8.403 7.816 7.816 90.00 90.23 90.23
Fractional positions:
Nd 0.719 0.248 0.247
Nd 0.719 0.749 0.249
Y 0.500 0.500 0.000
Nd 0.281 0.752 0.753
Nd 0.281 0.251 0.751
Sm 0.000 0.000 0.500
Y 0.000 0.500 0.000
Sm 0.000 0.000 0.000
Nd 0.719 0.250 0.750
Nd 0.281 0.750 0.250
Sm 0.500 0.000 0.500
Nd 0.719 0.747 0.748
Nd 0.281 0.253 0.252
Sm 0.000 0.500 0.500

Properties
**Crystal system**: monoclinic
**Relative energy among the computed polymorphs**: 91 meV/atom
**Formation energy**: 193 kJ/mol of formula units
**Total energy**: -4.710 eV per atom


VASP calculation (PBE-GGA) on crystalline NdSm5Y4 at its relaxed geometry.

Lattice parameters (Å, degrees): 6.064 8.102 8.102 81.95 68.02 68.02
Fractional positions:
Nd 0.215 0.000 0.000
Sm 0.138 0.622 0.000
Y 0.779 0.675 0.675
Y 0.454 0.325 0.675
Y 0.129 0.325 0.325
Sm 0.761 0.378 0.000
Sm 0.138 0.000 0.622
Sm 0.760 0.000 0.378
Sm 0.683 0.000 0.000
Y 0.454 0.675 0.325

Properties
**Crystal system**: tetragonal
**Relative energy among the computed polymorphs**: 112 meV/atom
**Formation energy**: 247 kJ/mol of formula units
**Total energy**: -5.166 eV per atom


VASP calculation (PBE-GGA) on crystalline NdSm3Y2 at its relaxed geometry.

Lattice parameters (Å, degrees): 7.236 6.262 9.580 89.83 112.19 90.00
Fractional positions:
Y 0.543 0.083 0.334
Y 0.208 0.417 0.666
Sm 0.375 0.750 0.000
Y 0.457 0.917 0.666
Nd 0.875 0.750 0.000
Sm 0.707 0.417 0.665
Sm 0.293 0.583 0.335
Y 0.792 0.583 0.334
Nd 0.125 0.250 0.000
Sm 0.042 0.083 0.335
Sm 0.958 0.917 0.665
Sm 0.625 0.250 0.000

Properties
**Crystal system**: monoclinic
**Formation energy**: 8 kJ/mol of formula units
**Total energy**: -5.294 eV per atom


VASP calculation (PBE-GGA) on crystalline Nd7SmY4 at its relaxed geometry.

Lattice parameters (Å, degrees): 6.073 11.780 6.797 83.54 63.47 75.06
Fractional positions:
Nd 0.500 0.000 0.000
Sm 0.000 0.000 0.000
Nd 0.061 0.677 0.202
Nd 0.210 0.079 0.501
Nd 0.631 0.498 0.241
Y 0.360 0.776 0.504
Nd 0.369 0.502 0.759
Nd 0.790 0.921 0.499
Y 0.753 0.682 0.812
Y 0.640 0.224 0.496
Y 0.247 0.318 0.188
Nd 0.939 0.323 0.798

Properties
**Crystal system**: monoclinic
**Relative energy among the computed polymorphs**: 236 meV/atom
**Formation energy**: 276 kJ/mol of formula units
**Total energy**: -5.091 eV per atom


VASP calculation (PBE-GGA) on crystalline Nd7Sm2Y at its relaxed geometry.

Lattice parameters (Å, degrees): 5.566 9.566 9.566 125.28 90.00 90.00
Fractional positions:
Nd 0.500 0.500 0.500
Nd 0.500 0.069 0.291
Nd 0.500 0.709 0.931
Y 0.000 0.000 0.000
Nd 0.000 0.214 0.786
Sm 0.500 0.705 0.295
Nd 0.500 0.291 0.069
Nd 0.500 0.931 0.709
Sm 0.500 0.295 0.705
Nd 0.000 0.786 0.214

Properties
**Crystal system**: orthorhombic
**Formation energy**: 602 kJ/mol of formula units
**Total energy**: -4.304 eV per atom